# AcTl4F7 GGA-PBE optimized geometry
# formation energy (no corrections): -2.5141 eV per atom
# D(E_F): 0.00 states/eV per cell
# V: 26.023 Å³/atom
data_AcTl4F7
_chemical_formula_sum 'Ac1 Tl4 F7'
_cell_length_a 4.8565
_cell_length_b 6.8204
_cell_length_c 9.9966
_cell_angle_alpha 71.24
_cell_angle_beta 85.02
_cell_angle_gamma 89.49
_space_group_name_H-M_alt 'P -1'
_space_group_IT_number 2
loop_
_space_group_symop_operation_xyz
'x,y,z'
'-x,-y,-z'
loop_
_atom_site_label
_atom_site_type_symbol
_atom_site_fract_x
_atom_site_fract_y
_atom_site_fract_z
Ac1 Ac 0.0000 0.0000 0.0000
Tl1 Tl 0.2226 0.7581 0.4515
Tl2 Tl 0.3613 0.3813 0.1899
F1 F 0.0075 0.0794 0.2205
F2 F 0.0172 0.3612 0.8634
F3 F 0.2535 0.3928 0.4351
F4 F 0.5000 0.0000 0.0000